Density functional theory data (PBE) for crystalline SrGe2Au2 at its relaxed geometry.

a = 6.180 Å, b = 6.180 Å, c = 6.180 Å
α = 136.51°, β = 136.51°, γ = 63.20°
Positions (direct):
Au  0.750  0.250  0.500
Au  0.250  0.750  0.500
Ge  0.621  0.621  0.000
Ge  0.379  0.379  0.000
Sr  0.000  0.000  0.000

- E_tot: -3.989 eV/atom
- Symmetry: No. 139